Entry 1:
The following is a GGA-PBE calculation of a relaxed MnRu2Au crystal, from Alexandria.

abc: 2.878 4.580 9.108
angles: 90.00 90.00 90.00
Space group Cmmm (No. 65)
Unique sites:
Mn 0.000 0.000 0.000
Ru 0.000 0.500 0.224
Au 0.000 0.000 0.500

Values from the calculation:
raw total energy: -7.395 eV/atom
polymorph energy (0 for the lowest one): 210 meV/atom
DFT formation energy: 0.36 eV/atom

=====

Entry 2:
The following is a GGA-PBE calculation of a relaxed MnRu2Au crystal, from Alexandria.

abc: 4.706 2.810 4.720
angles: 90.00 108.78 90.00
Space group P2/m (No. 10)
Unique sites:
Mn 0.000 0.000 0.000
Ru 0.500 0.000 0.500
Ru 0.500 0.500 0.000
Au 0.000 0.500 0.500

Values from the calculation:
raw total energy: -7.500 eV/atom
polymorph energy (0 for the lowest one): 104 meV/atom
DFT formation energy: 0.25 eV/atom

=====

Entry 3:
The following is a GGA-PBE calculation of a relaxed MnRuAu2 crystal, from Alexandria.

abc: 9.393 2.898 4.837
angles: 90.00 100.80 90.00
Space group C2/m (No. 12)
Unique sites:
Mn 0.000 0.000 0.000
Ru 0.000 0.500 0.500
Au 0.250 0.000 0.750

Values from the calculation:
raw total energy: -5.978 eV/atom
polymorph energy (0 for the lowest one): 119 meV/atom
DFT formation energy: 0.27 eV/atom

=====

Entry 4:
The following is a GGA-PBE calculation of a relaxed MnRuAu2 crystal, from Alexandria.

abc: 3.992 3.992 8.047
angles: 90.00 90.00 90.00
Space group I4/mmm (No. 139)
Unique sites:
Mn 0.000 0.000 0.000
Ru 0.000 0.000 0.500
Au 0.000 0.500 0.250

Values from the calculation:
raw total energy: -6.015 eV/atom
polymorph energy (0 for the lowest one): 81 meV/atom
DFT formation energy: 0.23 eV/atom

=====

Entry 5:
The following is a GGA-PBE calculation of a relaxed MnRu2Au crystal, from Alexandria.

abc: 3.870 3.870 3.912
angles: 90.00 90.00 90.00
Space group P4/mmm (No. 123)
Unique sites:
Mn 0.000 0.000 0.000
Ru 0.000 0.500 0.500
Au 0.500 0.500 0.000

Values from the calculation:
raw total energy: -7.524 eV/atom
polymorph energy (0 for the lowest one): 81 meV/atom
DFT formation energy: 0.23 eV/atom

=====

Entry 6:
The following is a GGA-PBE calculation of a relaxed MnRu2Au crystal, from Alexandria.

abc: 2.7091 2.7091 27.0074
angles: 90.00 90.00 120.00
Space group R-3m (No. 166, hexagonal axes)
Unique sites:
Mn 0.0000 0.0000 0.0000
Ru 0.0000 0.0000 0.2600
Au 0.0000 0.0000 0.5000

Values from the calculation:
raw total energy: -7.528 eV/atom
polymorph energy (0 for the lowest one): 76 meV/atom
DFT formation energy: 0.22 eV/atom